Below is a relaxed structure of SrMgTiNi2, with properties calculated at the PBE level.

Lattice parameters (Å, degrees): 4.7283 4.7283 4.9510 90.00 90.00 90.00
With the nearest neighbours (Å) after each atom.
Element x y z (fractional)
1 Sr 0.0000 0.0000 0.0000  4 Ti 3.34, 8 Ni 3.42
2 Mg 0.5000 0.5000 0.5000  4 Ni 2.36, 2 Ti 2.48
3 Ti 0.5000 0.5000 0.0000  2 Mg 2.48
4 Ni 0.0000 0.5000 0.5000  2 Mg 2.36
5 Ni 0.5000 0.0000 0.5000  2 Mg 2.36

Size of the total moment (μB per atom): 0.636
Energy of formation from the pure elements (eV per atom): 0.83
Total energy (eV/atom): -3.721